Entry 1:
9
Lattice="-4.053 -2.263 -0.269 -0.386 -3.766 -2.700 1.233 -2.620 3.478" Properties=species:S:1:pos:R:3 comment="LaZnH6Ru, relaxed, DFT PBE" energy_ev_per_atom=-4.275 pbc="T T T"
Ru -0.863 -3.320 0.749
H -1.875 -3.557 -0.627
H -1.045 -3.200 2.460
H -1.694 -1.814 0.622
Zn -2.343 -5.330 -0.240
H 0.002 -2.511 -0.504
H -1.221 -4.942 1.209
La -2.821 -4.883 3.209
H 0.654 -3.893 1.335

Entry 2:
12
Lattice="-4.014 -1.610 1.786 4.000 -0.549 2.365 -1.002 5.891 3.061" Properties=species:S:1:pos:R:3 comment="LaZnH8Ru2, relaxed, DFT PBE" energy_ev_per_atom=-4.249 pbc="T T T"
Ru -1.493 -0.373 2.438
H -0.226 4.273 3.344
La -0.501 2.946 1.530
Zn 0.000 0.000 0.000
H -0.234 3.033 5.728
H -0.781 0.699 1.484
H -3.087 -0.226 2.509
H 0.723 2.661 4.024
H 2.071 3.958 4.702
H -1.738 1.071 3.188
Ru 0.477 4.105 4.774
H -0.789 -0.541 3.868

Entry 3:
10
Lattice="-3.973 -1.417 -1.240 1.786 -6.048 1.188 -3.255 3.306 6.655" Properties=species:S:1:pos:R:3 comment="La2ZnHRu, relaxed, DFT PBE" energy_ev_per_atom=-5.118 pbc="T T T"
La -3.741 1.493 6.385
Zn -4.752 -0.653 4.283
La -1.702 -5.651 0.218
La -1.947 -0.410 2.810
H -3.511 -1.230 0.964
La -3.496 -3.748 3.793
H -1.932 -2.928 5.639
Ru -2.469 -1.283 5.481
Zn -0.691 -3.505 2.321
Ru -2.974 -2.875 1.122

Entry 4:
5
Lattice="3.714 0.000 0.000 0.000 3.714 0.000 1.857 1.857 6.477" Properties=species:S:1:pos:R:3 comment="La2H2S, relaxed, DFT PBE" energy_ev_per_atom=-5.216 pbc="T T T"
La 1.857 1.857 1.742
H 1.857 3.714 3.238
S 0.000 0.000 0.000
La 3.714 3.714 4.735
H 3.714 1.857 3.238

Entry 5:
5
Lattice="3.876 0.000 0.000 0.000 3.876 0.000 0.000 0.000 3.876" Properties=species:S:1:pos:R:3 comment="LaH3S, relaxed, DFT PBE" energy_ev_per_atom=-3.655 pbc="T T T"
H 0.000 0.000 1.938
H 1.938 0.000 0.000
La 1.938 1.938 1.938
H 0.000 1.938 0.000
S 0.000 0.000 0.000

Entry 6:
10
Lattice="4.054 0.000 0.497 1.996 3.528 0.497 -0.023 -0.013 16.965" Properties=species:S:1:pos:R:3 comment="La5HS4, relaxed, DFT PBE" energy_ev_per_atom=-6.229 pbc="T T T"
S 5.421 3.161 6.124
La 2.419 1.410 13.834
La 3.609 2.104 4.125
La 1.183 0.690 7.127
S 1.805 1.053 2.054
H 3.014 1.757 8.979
S 0.606 0.354 11.835
La 4.844 2.825 10.832
La 0.000 0.000 0.000
S 4.222 2.462 15.905